(1)
Density functional theory data (GGA-PBEsol) for crystalline Sr2TaNO3 at its relaxed geometry.

## Properties
The calculation puts the total energy at -116.8 eV per cell. As for the uncorrected formation energy: -2.55 eV/atom.

Cell: 3.995 4.054 12.583 Å, 90.00 90.00 90.00°
Space group Immm (No. 71)
Inequivalent atoms, fractional coordinates:
Sr 0.000 0.000 0.145 x4
Ta 0.000 0.000 0.500 x2
N 0.000 0.500 0.500 x2
O 0.000 0.000 0.339 x4
O 0.000 0.500 0.000 x2



(2)
Density functional theory data (GGA-PBEsol) for crystalline AgHg2Ru at its relaxed geometry.

## Properties
For the formation energy, the calculation gives 0.41 eV/atom. The calculation puts the total energy at -25.9 eV per cell.

Cell: 3.024 4.728 9.839 Å, 90.00 90.00 90.00°
Space group Imm2 (No. 44)
Inequivalent atoms, fractional coordinates:
Ag 0.000 0.000 0.000 x2
Hg 0.000 0.000 0.523 x2
Hg 0.000 0.500 0.759 x2
Ru 0.000 0.500 0.260 x2



(3)
Density functional theory data (GGA-PBEsol) for crystalline BaY2MoOs at its relaxed geometry.

## Properties
For the formation energy, the calculation gives 0.45 eV/atom. The calculation puts the total energy at -37.5 eV per cell.

Cell: 5.456 5.456 4.825 Å, 90.00 90.00 90.00°
Space group P4/mmm (No. 123)
Inequivalent atoms, fractional coordinates:
Ba 0.000 0.000 0.000 x1
Y 0.000 0.500 0.500 x2
Mo 0.500 0.500 0.000 x1
Os 0.500 0.500 0.500 x1



(4)
Density functional theory data (GGA-PBEsol) for crystalline Ca2FePt at its relaxed geometry.

## Properties
For the formation energy, the calculation gives -0.04 eV/atom. The calculation puts the total energy at -20.4 eV per cell.

Cell: 3.384 3.384 8.203 Å, 90.00 90.00 90.00°
Space group P4mm (No. 99)
Inequivalent atoms, fractional coordinates:
Ca 0.000 0.000 0.000 x1
Ca 0.500 0.500 0.401 x1
Fe 0.500 0.500 0.749 x1
Pt 0.000 0.000 0.640 x1



(5)
Density functional theory data (GGA-PBEsol) for crystalline MnAgGe3 at its relaxed geometry.

## Properties
For the formation energy, the calculation gives 0.27 eV/atom. The calculation puts the total energy at -26.5 eV per cell.

Cell: 4.527 4.527 4.527 Å, 90.00 90.00 90.00°
Space group Pm-3m (No. 221)
Inequivalent atoms, fractional coordinates:
Mn 0.000 0.000 0.000 x1
Ag 0.500 0.500 0.500 x1
Ge 0.000 0.000 0.500 x3



(6)
Density functional theory data (GGA-PBEsol) for crystalline NiRuPt2 at its relaxed geometry.

## Properties
For the formation energy, the calculation gives 0.01 eV/atom. The calculation puts the total energy at -60.5 eV per cell.

Cell: 8.816 2.686 4.638 Å, 90.00 100.50 90.00°
Space group Cm (No. 8)
Inequivalent atoms, fractional coordinates:
Ni 0.000 0.000 0.000 x2
Ru 0.240 0.500 0.247 x2
Pt 0.250 0.000 0.762 x2
Pt 0.491 0.000 0.482 x2



(7)
Density functional theory data (GGA-PBEsol) for crystalline Cd2AgPb at its relaxed geometry.

## Properties
For the formation energy, the calculation gives 0.07 eV/atom. The calculation puts the total energy at -9.4 eV per cell.

Cell: 3.372 4.676 5.734 Å, 90.00 100.75 90.00°
Space group Pm (No. 6)
Inequivalent atoms, fractional coordinates:
Cd 0.000 0.000 0.000 x1
Cd 0.429 0.500 0.841 x1
Ag 0.314 0.000 0.548 x1
Pb 0.789 0.500 0.362 x1



(8)
Density functional theory data (GGA-PBEsol) for crystalline TaCu3 at its relaxed geometry.

## Properties
For the formation energy, the calculation gives 0.09 eV/atom. The calculation puts the total energy at -25.2 eV per cell.

Cell: 2.697 2.697 7.084 Å, 90.00 90.00 90.00°
Space group P4/mmm (No. 123)
Inequivalent atoms, fractional coordinates:
Ta 0.000 0.000 0.000 x1
Cu 0.000 0.000 0.500 x1
Cu 0.500 0.500 0.276 x2